No. 1
DFT (PBE-GGA) results for an optimized crystal structure of TbThBr.

It has space group P3m1 (No. 156), with a = 3.6575 Å, b = 3.6575 Å, c = 7.8651 Å, α = 90.00°, β = 90.00° and γ = 120.00°. The distinct sites, in fractional coordinates, are Tb at (0.0000, 0.0000, 0.0000), Th at (0.3333, 0.6667, 0.6442) and Br at (0.6667, 0.3333, 0.2802).

The uncorrected formation energy is -0.594 eV/atom. Its total moment is 0.00 μB/atom.

---

No. 2
DFT (PBE-GGA) results for an optimized crystal structure of Tb2TiBr.

It has space group R-3m (No. 166, hexagonal axes), with a = 3.3751 Å, b = 3.3751 Å, c = 32.1745 Å, α = 90.00°, β = 90.00° and γ = 120.00°. The distinct sites, in fractional coordinates, are Tb at (0.0000, 0.0000, 0.0919), Ti at (0.0000, 0.0000, 0.0000) and Br at (0.0000, 0.0000, 0.5000).

The uncorrected formation energy is -0.027 eV/atom. Its total moment is 0.50 μB/atom.

---

Q: The highest total moment belongs to which entry?
A: Tb2TiBr